Computed, not measured: a relaxed LiYMo2 crystal at the GGA-PBE level of DFT.

offset from the most stable computed form: 215 meV/atom
space-group type: Cm

The structure in POSCAR format:
```
LiYMo2
1.0
4.5743 -1.3714 0.0000
4.5743 1.3714 0.0000
-0.2289 0.0000 5.9657
Li Y Mo
1 1 2
Direct
0.0000 0.0000 0.0000
0.2473 0.2473 0.7216
0.4977 0.4977 0.4199
0.7420 0.7420 0.2371
```

Computed, not measured: a relaxed SrCrCu4 crystal at the GGA-PBE level of DFT.

space-group type: F-43m
total energy: -4.4032 eV per atom

The structure in POSCAR format:
```
SrCrCu4
1.0
0.0000 3.6773 3.6773
3.6773 0.0000 3.6773
3.6773 3.6773 0.0000
Sr Cr Cu
1 1 4
Direct
0.0000 0.0000 0.0000
0.7500 0.7500 0.7500
0.3768 0.3768 0.3768
0.3768 0.3768 0.8695
0.3768 0.8695 0.3768
0.8695 0.3768 0.3768
```

Computed, not measured: a relaxed K2SrAuO4 crystal at the GGA-PBE level of DFT.

formation energy from raw total energies: -0.94 eV per atom
space-group type: I-42m

The structure in POSCAR format:
```
K2SrAuO4
1.0
-3.3304 3.3304 3.3212
3.3304 -3.3304 3.3212
3.3304 3.3304 -3.3212
K Sr Au O
2 1 1 4
Direct
0.0000 0.5000 0.5000
0.5000 0.0000 0.5000
0.0000 0.0000 0.0000
0.5000 0.5000 0.0000
0.1232 0.1232 0.6795
0.4438 0.4438 0.3205
0.5562 0.8768 0.0000
0.8768 0.5562 0.0000
```

Computed, not measured: a relaxed Bi2Sb2Pb7 crystal at the GGA-PBE level of DFT.

formation energy from raw total energies: 0.03 eV per atom
offset from the most stable computed form: 0 meV/atom
space-group type: Imm2

The structure in POSCAR format:
```
Bi2Sb2Pb7
1.0
-2.3020 7.1921 5.5735
2.3020 -7.1921 5.5735
2.3020 7.1921 -5.5735
Bi Sb Pb
2 2 7
Direct
0.0000 0.0000 0.0000
0.5922 0.0922 0.5000
0.0377 0.7622 0.2755
0.4867 0.7622 0.7245
0.2128 0.7128 0.5000
0.2922 0.0649 0.2273
0.3183 0.4338 0.8846
0.5492 0.4338 0.1154
0.7136 0.3379 0.3757
0.8376 0.0649 0.7727
0.9623 0.3379 0.6243
```

Computed, not measured: a relaxed KBeAgHg2 crystal at the GGA-PBE level of DFT.

space-group type: P4/mmm
total energy: -1.6006 eV per atom

The structure in POSCAR format:
```
KBeAgHg2
1.0
4.9201 0.0000 0.0000
0.0000 4.9201 0.0000
0.0000 0.0000 4.9394
K Be Ag Hg
1 1 1 2
Direct
0.0000 0.0000 0.0000
0.5000 0.5000 0.5000
0.5000 0.5000 0.0000
0.0000 0.5000 0.5000
0.5000 0.0000 0.5000
```

Computed, not measured: a relaxed TaInP2 crystal at the GGA-PBE level of DFT.

space-group type: P2/m
total energy: -6.6044 eV per atom

The structure in POSCAR format:
```
TaInP2
1.0
3.2918 0.0000 0.0000
0.0000 3.2817 0.0000
-0.3599 0.0000 6.6120
Ta In P
1 1 2
Direct
0.0000 0.0000 0.0000
0.0000 0.0000 0.5000
0.4812 0.5000 0.8102
0.5188 0.5000 0.1898
```

Computed, not measured: a relaxed La2ReMo crystal at the GGA-PBE level of DFT.

offset from the most stable computed form: 670 meV/atom
space-group type: P4/mmm

The structure in POSCAR format:
```
La2ReMo
1.0
3.1818 0.0000 0.0000
0.0000 3.1818 0.0000
0.0000 0.0000 9.1197
La Re Mo
2 1 1
Direct
0.0000 0.0000 0.2283
0.0000 0.0000 0.7717
0.5000 0.5000 0.0000
0.5000 0.5000 0.5000
```

Computed, not measured: a relaxed SnSbP crystal at the GGA-PBE level of DFT.

formation energy from raw total energies: 0.07 eV per atom
offset from the most stable computed form: 18 meV/atom
space-group type: P1

The structure in POSCAR format:
```
SnSbP
1.0
4.9401 0.0000 0.0000
-0.4412 5.3047 0.0000
-1.5224 -2.3265 6.3326
Sn Sb P
2 2 2
Direct
0.0000 0.0000 0.0000
0.4137 0.6040 0.7710
0.1825 0.7867 0.4047
0.6112 0.3700 0.1859
0.0062 0.1707 0.6709
0.6012 0.2135 0.5034
```

Computed, not measured: a relaxed NaBiPt2 crystal at the GGA-PBE level of DFT.

space-group type: P2_1/m
total energy: -4.4870 eV per atom

The structure in POSCAR format:
```
NaBiPt2
1.0
4.8604 0.0000 0.0000
0.0000 7.4225 0.0000
-2.4145 0.0000 5.4102
Na Bi Pt
2 2 4
Direct
0.0655 0.2500 0.1357
0.9345 0.7500 0.8643
0.3674 0.2500 0.7364
0.6326 0.7500 0.2636
0.2396 0.5730 0.4790
0.2396 0.9270 0.4790
0.7604 0.0730 0.5210
0.7604 0.4270 0.5210
```

Computed, not measured: a relaxed Bi4Pd2Br crystal at the GGA-PBE level of DFT.

formation energy from raw total energies: -0.27 eV per atom
space-group type: I4_1/amd

The structure in POSCAR format:
```
Bi4Pd2Br
1.0
-4.4443 4.4443 6.2319
4.4443 -4.4443 6.2319
4.4443 4.4443 -6.2319
Bi Pd Br
8 4 2
Direct
0.2793 0.3408 0.5615
0.2793 0.7178 0.9385
0.2822 0.7207 0.5615
0.3408 0.2793 0.0615
0.6592 0.7207 0.9385
0.7178 0.2793 0.4385
0.7207 0.2822 0.0615
0.7207 0.6592 0.4385
0.0000 0.5000 0.5000
0.5000 0.0000 0.0000
0.5000 0.5000 0.0000
0.5000 0.5000 0.5000
0.1250 0.8750 0.2500
0.8750 0.1250 0.7500
```